VASP calculation (PBE) on a geometry-optimized ReRuPtS2 structure.

## Properties
- Symmetry: No. 123
- Formation energy (no corrections): 1.7617 eV per atom
- D(E_F): 5.95 states/eV per cell
- Final energy: -27.21 eV for the cell shown

a b c (Å): 4.5378 5.0114 4.5378
angles (deg): 90.00 90.00 90.00
With the nearest neighbours (Å) after each atom.
Fractional positions:
S1 0.0000 0.0000 0.5000  2 Pt 2.27
Pt1 0.0000 0.0000 0.0000  4 S 2.27, 2 Ru 2.51
S2 0.5000 0.0000 0.0000  2 Pt 2.27
Re1 0.5000 0.5000 0.5000  4 Ru 3.21, 8 S 3.38
Ru1 0.0000 0.5000 0.0000  2 Pt 2.51